(1)
VASP calculation (PBE-GGA) on crystalline Nb2VSi2 at its relaxed geometry.

Structure (POSCAR):
```
Nb2VSi2
1.0
-1.9442 1.9442 5.7199
1.9442 -1.9442 5.7199
1.9442 1.9442 -5.7199
Nb V Si
2 1 2
Cartesian
1.9442 0.0000 2.8599
0.0000 1.9442 2.8599
0.0000 0.0000 0.0000
0.0000 0.0000 4.6106
0.0000 0.0000 6.8292
```

Computed properties:
The value obtained for the relative energy among the computed polymorphs is 307 kJ/mol of formula units. Its formation energy (no corrections) is 15 meV per atom. The value obtained for the total magnetic moment is 1.8 μB per formula unit. The space group is I4/mmm.

***

(2)
VASP calculation (PBE-GGA) on crystalline DyZr11 at its relaxed geometry.

Structure (POSCAR):
```
DyZr11
1.0
10.2231 0.0000 0.0000
-5.1115 8.8534 0.0000
0.0000 0.0000 3.1702
Dy Zr
1 11
Cartesian
0.0000 0.0000 0.0000
-2.5558 4.4267 0.0000
0.0000 3.0950 1.5851
-2.4312 7.3059 1.5851
0.0000 5.9023 0.0000
2.6804 1.5475 1.5851
5.1115 0.0000 0.0000
2.5558 4.4267 0.0000
2.4312 7.3059 1.5851
5.1115 2.9511 0.0000
7.5427 1.5475 1.5851
5.1115 5.7584 1.5851
```

Computed properties:
The value obtained for the total magnetic moment is 0.0 μB per formula unit. The space group is P6/mmm. The calculation puts the energy at -8.17 eV/atom.

***

Q: Which of these has the highest total magnetic moment?
A: Nb2VSi2